[1]
Below is a geometry-optimized LiScMoRu structure, with properties calculated at the GGA-PBE level.

Calculated values
- Total magnetic moment: 0.0 μB/f.u.
- Calculated formation energy: -0.037 eV/atom
- Space-group type: F-43m (216)

Cell and atoms, written as extended XYZ:
```
4
Lattice="0.000 3.149 3.149 3.149 0.000 3.149 3.149 3.149 0.000" Properties=species:S:1:pos:R:3 pbc="T T T"
Li 0.000 0.000 0.000
Sc 4.724 4.724 4.724
Mo 1.575 1.575 1.575
Ru 3.149 3.149 3.149
```

***

[2]
Below is a geometry-optimized La7Dy4Tm structure, with properties calculated at the GGA-PBE level.

Calculated values
- Total magnetic moment: 0.0 μB/f.u.
- Calculated formation energy: 0.015 eV/atom
- Space-group type: P-1 (2)

Cell and atoms, written as extended XYZ:
```
12
Lattice="6.398 0.000 0.000 0.004 7.342 0.000 2.135 0.002 8.839" Properties=species:S:1:pos:R:3 pbc="T T T"
La 0.000 0.000 0.000
La 2.158 0.003 2.953
La 3.212 1.857 5.885
La 3.205 1.884 0.015
La 5.333 5.459 8.824
La 5.325 5.487 2.954
La 6.380 7.340 5.886
Dy 2.100 3.669 2.958
Dy 3.198 5.450 5.917
Dy 5.340 1.894 2.921
Dy 6.438 3.675 5.881
Tm 0.002 3.671 0.000
```

***

[3]
Below is a geometry-optimized Ti6PH structure, with properties calculated at the GGA-PBE level.

Calculated values
- Total magnetic moment: 0.0 μB/f.u.
- Space-group type: R-3 (148)
- E: -7.301 eV per atom

Cell and atoms, written as extended XYZ:
```
8
Lattice="2.640 1.524 5.150 -2.640 1.524 5.150 0.000 -3.049 5.150" Properties=species:S:1:pos:R:3 pbc="T T T"
Ti -0.949 -1.594 6.268
Ti -1.855 0.025 9.182
Ti -0.906 1.619 6.268
Ti 0.906 -1.619 9.182
Ti 1.855 -0.025 6.268
Ti 0.949 1.594 9.182
P 0.000 0.000 7.725
H 0.000 0.000 0.000
```

***

[4]
Below is a geometry-optimized Pr6Si2AuCl3 structure, with properties calculated at the GGA-PBE level.

Calculated values
- Total magnetic moment: 0.0 μB/f.u.
- Formation energy from raw total energies: -13.68 eV/f.u.
- Space-group type: C2/m (12)

Cell and atoms, written as extended XYZ:
```
12
Lattice="9.253 -2.138 0.000 9.253 2.138 0.000 -1.729 0.000 8.414" Properties=species:S:1:pos:R:3 pbc="T T T"
Pr -0.339 0.000 2.088
Pr 5.348 0.000 3.588
Pr 4.615 0.000 7.555
Pr 12.162 0.000 0.859
Pr 11.429 0.000 4.826
Pr 17.116 0.000 6.326
Si 2.496 0.000 2.827
Si 14.281 0.000 5.587
Au 9.253 0.000 0.000
Cl 1.681 0.000 7.027
Cl 8.388 0.000 4.207
Cl 15.096 0.000 1.387
```

***

[5]
Below is a geometry-optimized ZrNi2Os structure, with properties calculated at the GGA-PBE level.

Calculated values
- Total magnetic moment: 1.2 μB/f.u.
- Calculated formation energy: -0.087 eV/atom
- Space-group type: I-4m2 (119)

Cell and atoms, written as extended XYZ:
```
4
Lattice="-1.923 1.923 3.915 1.923 -1.923 3.915 1.923 1.923 -3.915" Properties=species:S:1:pos:R:3 pbc="T T T"
Zr 0.000 0.000 0.000
Ni 1.923 0.000 1.957
Ni 0.000 0.000 3.915
Os 0.000 1.923 1.957
```